The following is a DFT calculation (PBE) of a relaxed Pr5CuHg4 crystal.

a b c (Å): 3.8090 3.8090 19.2525
angles (deg): 90.00 90.00 90.00
Last column: nearest neighbours and their distance in Å.
Element x y z (fractional)
Pr: 0.0000 0.0000 0.0000  8 Hg 3.34
Pr: 0.0000 0.0000 0.2053  8 Hg 3.34
Pr: 0.0000 0.0000 0.4116  4 Cu 3.19, 4 Hg 3.36, 1 Pr 3.40
Pr: 0.0000 0.0000 0.5884  4 Cu 3.19, 4 Hg 3.36, 1 Pr 3.40
Pr: 0.0000 0.0000 0.7947  8 Hg 3.34
Cu: 0.5000 0.5000 0.5000  8 Pr 3.19
Hg: 0.5000 0.5000 0.1027  8 Pr 3.34
Hg: 0.5000 0.5000 0.3077  8 Pr 3.34-3.36, 1 Cu 3.70
Hg: 0.5000 0.5000 0.6923  8 Pr 3.34-3.36, 1 Cu 3.70
Hg: 0.5000 0.5000 0.8973  8 Pr 3.34

Results
Mass density, g/cm3: 9.3
Volume, Å³ per atom: 27.93
Energy of formation, eV/atom: -0.39